DFT (PBE) results for an optimized crystal structure of La2ScBiRu.

Calculated values
Theoretical density: 6.90 g cm⁻³
Space-group type: P4/mmm, No. 123
DFT total energy: -6.3343 eV/atom

a = 5.4719 Å, b = 5.4719 Å, c = 5.0845 Å
α = 90.00°, β = 90.00°, γ = 90.00°
With the nearest neighbours (Å) after each atom.
Element x y z (fractional)
1 La 0.5000 0.0000 0.0000  2 Ru 2.74
2 La 0.0000 0.5000 0.0000  2 Ru 2.74
3 Bi 0.5000 0.5000 0.5000  8 La 3.73, 4 Sc 3.87
4 Ru 0.0000 0.0000 0.0000  2 Sc 2.54, 4 La 2.74
5 Sc 0.0000 0.0000 0.5000  2 Ru 2.54